(1)
This record from Alexandria via LeMat-Bulk describes a relaxed TbNd5Sc4 crystal. The functional is PBE-GGA.

Calculated values
Energy of formation: 47 meV/atom
N(E_F): 1.50 states/eV per atom
Space group: P4/mmm (123)

Cell lengths 3.5942, 3.5942, 23.4447 Å; angles 90.00, 90.00, 90.00 degrees
With the nearest neighbours (Å) after each atom.
Fractional positions:
1 Tb 0.0000 0.0000 0.0000  4 Tb 3.59, 8 Nd 3.60
2 Nd 0.5000 0.5000 0.1088  4 Sc 3.43, 4 Nd 3.59, 4 Tb 3.60
3 Nd 0.5000 0.5000 0.3050  8 Sc 3.42, 4 Nd 3.59
4 Nd 0.5000 0.5000 0.5000  8 Sc 3.42, 4 Nd 3.59
5 Nd 0.5000 0.5000 0.6950  8 Sc 3.42, 4 Nd 3.59
6 Nd 0.5000 0.5000 0.8912  4 Sc 3.43, 4 Nd 3.59, 4 Tb 3.60
7 Sc 0.0000 0.0000 0.2072  8 Nd 3.42-3.43, 4 Sc 3.59
8 Sc 0.0000 0.0000 0.4024  8 Nd 3.42, 4 Sc 3.59
9 Sc 0.0000 0.0000 0.5976  8 Nd 3.42, 4 Sc 3.59
10 Sc 0.0000 0.0000 0.7928  8 Nd 3.42-3.43, 4 Sc 3.59

---

(2)
This record from Alexandria via LeMat-Bulk describes a relaxed AlInBi2 crystal. The functional is PBE-GGA.

Calculated values
Energy of formation: 214 meV/atom
N(E_F): 0.50 states/eV per atom
Space group: R-3m (166)

Cell lengths 12.0527, 12.0527, 12.0527 Å; angles 16.03, 16.03, 16.03 degrees
With the nearest neighbours (Å) after each atom.
Fractional positions:
1 Al 0.0000 0.0000 0.0000  2 Bi 2.90
2 In 0.5000 0.5000 0.5000  6 In 3.36, 6 Bi 3.61
3 Bi 0.0813 0.0813 0.0813  1 Al 2.90
4 Bi 0.9187 0.9187 0.9187  1 Al 2.90

---

(3)
This record from Alexandria via LeMat-Bulk describes a relaxed Sm3DyZn2 crystal. The functional is PBE-GGA.

Calculated values
Energy of formation: -207 meV/atom
N(E_F): 0.99 states/eV per atom
Polymorph energy (0 for the lowest one): 0 meV/atom
Space group: P4/mmm (123)

Cell lengths 3.6372, 3.6372, 12.2699 Å; angles 90.00, 90.00, 90.00 degrees
With the nearest neighbours (Å) after each atom.
Fractional positions:
1 Sm 0.0000 0.0000 0.0000  8 Zn 3.14
2 Sm 0.0000 0.0000 0.2936  4 Zn 3.14
3 Sm 0.0000 0.0000 0.7064  4 Zn 3.14
4 Dy 0.5000 0.5000 0.5000  8 Sm 3.61, 4 Dy 3.64
5 Zn 0.5000 0.5000 0.1467  8 Sm 3.14
6 Zn 0.5000 0.5000 0.8533  8 Sm 3.14

---

(4)
This record from Alexandria via LeMat-Bulk describes a relaxed Pr2Nd3Y3 crystal. The functional is PBE-GGA.

Calculated values
Energy of formation: 15 meV/atom
N(E_F): 1.59 states/eV per atom
Polymorph energy (0 for the lowest one): 0 meV/atom
Space group: Immm (71)

Cell lengths 10.9192, 10.9192, 10.9192 Å; angles 152.66, 152.60, 39.09 degrees
With the nearest neighbours (Å) after each atom.
Fractional positions:
1 Pr 0.2499 0.2499 0.0000  4 Pr 3.65, 4 Y 3.66, 4 Nd 3.67
2 Pr 0.7501 0.7501 0.0000  4 Pr 3.65, 4 Y 3.66, 4 Nd 3.67
3 Nd 0.0000 0.0000 0.0000  4 Nd 3.62, 8 Y 3.63-3.65
4 Nd 0.3768 0.8768 0.5000  6 Y 3.62-3.65, 2 Nd 3.62, 4 Pr 3.67
5 Nd 0.6232 0.1232 0.5000  6 Y 3.62-3.65, 2 Nd 3.62, 4 Pr 3.67
6 Y 0.1240 0.6240 0.5000  6 Nd 3.63-3.65, 2 Y 3.63, 4 Pr 3.66
7 Y 0.5000 0.5000 0.0000  8 Nd 3.62-3.65, 4 Y 3.63
8 Y 0.8760 0.3760 0.5000  6 Nd 3.63-3.65, 2 Y 3.63, 4 Pr 3.66